Record 1
The following is a GGA-PBE calculation of an optimized crystal structure of CuNiHg2, from the Alexandria database.

Structure (POSCAR):
```
CuNiHg2
1.0
1.4929 0.8619 9.2122
-1.4929 0.8619 9.2122
0.0000 -1.7239 9.2122
Cu Ni Hg
1 1 2
Cartesian
0.0000 0.0000 0.0000 Cu
0.0000 0.0000 7.4483 Ni
0.0000 0.0000 14.5301 Hg
0.0000 0.0000 20.6730 Hg
```

Output
Crystal system   trigonal

=====

Record 2
The following is a GGA-PBE calculation of an optimized crystal structure of Cu2NiHg2, from the Alexandria database.

Structure (POSCAR):
```
Cu2NiHg2
1.0
6.4707 0.0000 0.0000
0.0000 6.4707 0.0000
0.0000 0.0000 3.8617
Cu Ni Hg
4 2 4
Cartesian
0.8632 2.3721 0.0000 Cu
2.3721 5.6075 0.0000 Cu
4.0986 0.8632 0.0000 Cu
5.6075 4.0986 0.0000 Cu
0.0000 0.0000 0.0000 Ni
3.2354 3.2354 0.0000 Ni
1.1223 4.3576 1.9309 Hg
2.1131 1.1223 1.9309 Hg
4.3576 5.3485 1.9309 Hg
5.3485 2.1131 1.9309 Hg
```

Output
Crystal system   tetragonal

=====

Record 3
The following is a GGA-PBE calculation of an optimized crystal structure of CuNiHg2, from the Alexandria database.

Structure (POSCAR):
```
CuNiHg2
1.0
-1.9356 1.9356 4.4210
1.9356 -1.9356 4.4210
1.9356 1.9356 -4.4210
Cu Ni Hg
1 1 2
Cartesian
0.0000 0.0000 0.0000 Cu
0.0000 1.9356 2.2105 Ni
1.9356 0.0000 2.2105 Hg
0.0000 0.0000 4.4210 Hg
```

Output
Crystal system   tetragonal

=====

Record 4
The following is a GGA-PBE calculation of an optimized crystal structure of CuNiHg, from the Alexandria database.

Structure (POSCAR):
```
CuNiHg
1.0
5.4779 0.0000 0.0000
0.0000 3.9695 0.0000
0.0000 0.0000 8.0923
Cu Ni Hg
4 4 4
Cartesian
0.4856 0.9924 1.9396 Cu
2.2534 2.9772 5.9857 Cu
3.2245 0.9924 2.1065 Cu
4.9923 2.9772 6.1527 Cu
0.7186 0.9924 7.4398 Ni
2.0204 2.9772 3.3937 Ni
3.4575 0.9924 4.6986 Ni
4.7593 2.9772 0.6525 Ni
0.8291 0.9924 4.7765 Hg
1.9099 2.9772 0.7303 Hg
3.5680 0.9924 7.3620 Hg
4.6488 2.9772 3.3158 Hg
```

Output
Crystal system   orthorhombic

=====

Record 5
The following is a GGA-PBE calculation of an optimized crystal structure of Cu2NiHg, from the Alexandria database.

Structure (POSCAR):
```
Cu2NiHg
1.0
2.9429 0.0000 0.0000
0.0000 3.0249 0.0000
0.0000 0.0000 6.2866
Cu Ni Hg
2 1 1
Cartesian
0.0000 0.0000 0.0000 Cu
1.4714 1.5125 1.3433 Cu
0.0000 0.0000 2.6544 Ni
1.4714 1.5125 4.4170 Hg
```

Output
Crystal system   orthorhombic

=====

Record 6
The following is a GGA-PBE calculation of an optimized crystal structure of CuNiHg, from the Alexandria database.

Structure (POSCAR):
```
CuNiHg
1.0
4.2528 0.0000 0.0000
-2.1264 3.6831 0.0000
0.0000 0.0000 2.8185
Cu Ni Hg
1 1 1
Cartesian
0.0000 0.0000 0.0000 Cu
2.1264 1.2277 2.3448 Ni
0.0000 2.4554 1.1593 Hg
```

Output
Crystal system   trigonal

=====

Record 7
The following is a GGA-PBE calculation of an optimized crystal structure of CuNiHg2, from the Alexandria database.

Structure (POSCAR):
```
CuNiHg2
1.0
4.4951 0.0000 0.0000
0.0000 4.4951 0.0000
0.0000 0.0000 3.2225
Cu Ni Hg
1 1 2
Cartesian
0.0000 0.0000 0.0000 Cu
2.2475 2.2475 0.0000 Ni
0.0000 2.2475 1.6113 Hg
2.2475 0.0000 1.6113 Hg
```

Output
Crystal system   tetragonal

=====

Record 8
The following is a GGA-PBE calculation of an optimized crystal structure of Cu2NiHg, from the Alexandria database.

Structure (POSCAR):
```
Cu2NiHg
1.0
4.3608 -1.4265 0.0000
4.3608 1.4265 0.0000
-0.9975 0.0000 4.5352
Cu Ni Hg
2 1 1
Cartesian
0.0000 0.0000 0.0000 Cu
6.2874 0.0000 1.0028 Cu
3.7893 0.0000 2.0341 Ni
1.3807 0.0000 3.2457 Hg
```

Output
Crystal system   monoclinic

=====

| no. | calculated formation energy (meV per atom) |
| --- | --- |
| 1 | 307 |
| 2 | 294 |
| 3 | 267 |
| 4 | 189 |
| 5 | 147 |
| 6 | 248 |
| 7 | 210 |
| 8 | 191 |